Compound: TmZn2Hg
Source: Alexandria via LeMat-Bulk
Functional: GGA-PBE
Structure: optimized geometry

## Properties
crystal system	tetragonal
space group	P4/mmm
total DFT energy (no corrections)	-7.9	eV/cell
energy of formation from the pure elements	-136	meV per atom

Structure (POSCAR):
```
TmZn2Hg
1.0
-2.9546 0.8094 1.5424
-1.7414 -1.3032 -2.6520
-0.0804 -6.2000 3.0996
Zn Tm Hg
2 1 1
Direct
0.0000 0.0000 0.7657
0.0000 0.0000 0.2343
0.5000 0.5000 0.5000
0.5000 0.5000 0.0000
```